Record 1
This record from Alexandria via LeMat-Bulk describes a relaxed structure of La2GeSb3Pt4. The functional is PBE.

Values from the calculation:
Uncorrected formation energy   -0.919 eV per atom
DOS(E_F)   5.03 states/eV/f.u.
Size of the total moment   0.0 μB per formula unit

Cell: 4.6224 4.6224 10.5045 Å, 90.00 90.00 90.00°
Atoms (fractional coordinates):
Sb1 0.0000 0.0000 0.5000
Sb2 0.0000 0.5000 0.1326
Sb3 0.5000 0.0000 0.8674
La1 0.5000 0.0000 0.2479
La2 0.0000 0.5000 0.7521
Pt1 0.5000 0.0000 0.6183
Pt2 0.5000 0.5000 0.0000
Pt3 0.0000 0.5000 0.3817
Pt4 0.0000 0.0000 0.0000
Ge1 0.5000 0.5000 0.5000

Record 2
This record from Alexandria via LeMat-Bulk describes a relaxed structure of AcErAg2Au4. The functional is PBE.

Values from the calculation:
DOS(E_F)   3.08 states/eV/f.u.
Size of the total moment   0.0 μB per formula unit
E   -32.144 eV for the cell shown

Cell: 4.8343 4.8343 9.3984 Å, 75.10 75.10 60.00°
Atoms (fractional coordinates):
Au1 0.3922 0.3922 0.8234
Au2 0.8762 0.8762 0.3715
Au3 0.1238 0.1238 0.6285
Au4 0.6078 0.6078 0.1766
Ac1 0.0000 0.0000 0.0000
Er1 0.5000 0.5000 0.5000
Ag1 0.2393 0.2393 0.2822
Ag2 0.7607 0.7607 0.7178

Record 3
This record from Alexandria via LeMat-Bulk describes a relaxed structure of CuPd2RhSe6. The functional is PBE.

Values from the calculation:
Uncorrected formation energy   -0.236 eV per atom
DOS(E_F)   5.45 states/eV/f.u.
Size of the total moment   0.0 μB per formula unit

Cell: 6.7251 8.0128 8.0128 Å, 95.66 75.70 75.70°
Atoms (fractional coordinates):
Pd1 0.2531 0.7168 0.5453
Pd2 0.7531 0.5453 0.7168
Pd3 0.2469 0.4547 0.2832
Pd4 0.7469 0.2832 0.4547
Se1 0.1502 0.9585 0.8006
Se2 0.8333 0.3610 0.9422
Se3 0.3828 0.4961 0.7262
Se4 0.3498 0.1994 0.0415
Se5 0.1172 0.2738 0.5039
Se6 0.3333 0.9422 0.3610
Se7 0.1667 0.6390 0.0578
Se8 0.8498 0.0415 0.1994
Se9 0.8828 0.7262 0.4961
Se10 0.6172 0.5039 0.2738
Se11 0.6502 0.8006 0.9585
Se12 0.6667 0.0578 0.6390
Rh1 0.7500 0.0800 0.9200
Rh2 0.2500 0.9200 0.0800
Cu1 0.2500 0.2356 0.7644
Cu2 0.7500 0.7644 0.2356

Record 4
This record from Alexandria via LeMat-Bulk describes a relaxed structure of SrGa. The functional is PBE.

Values from the calculation:
DOS(E_F)   2.63 states/eV/f.u.
Size of the total moment   0.9 μB per formula unit
E   -8.512 eV for the cell shown

Cell: 5.6255 5.6255 6.5365 Å, 90.00 90.00 120.00°
Site moments in Bohr magnetons follow the coordinates.
Atoms (fractional coordinates):
Ga1 0.6667 0.3333 0.7500  0.20
Ga2 0.3333 0.6667 0.2500  0.20
Sr1 0.3333 0.6667 0.7500  0.09
Sr2 0.6667 0.3333 0.2500  0.09

Record 5
This record from Alexandria via LeMat-Bulk describes a relaxed structure of BaPr2Nd. The functional is PBE.

Values from the calculation:
Relative energy among the computed polymorphs   0.078 eV/atom
DOS(E_F)   7.18 states/eV/f.u.
Size of the total moment   0.0 μB per formula unit

Cell: 5.4246 5.4090 5.4090 Å, 90.00 90.00 90.00°
Atoms (fractional coordinates):
Pr1 0.0000 0.0000 0.5000
Pr2 0.0000 0.5000 0.0000
Nd1 0.5000 0.5000 0.5000
Ba1 0.5000 0.0000 0.0000

Record 6
This record from Alexandria via LeMat-Bulk describes a relaxed structure of GdHoGe2. The functional is PBE.

Values from the calculation:
Relative energy among the computed polymorphs   0.037 eV/atom
DOS(E_F)   2.49 states/eV/f.u.
Size of the total moment   7.2 μB per formula unit

Cell: 3.3621 3.3621 8.0510 Å, 90.00 90.00 90.00°
Site moments in Bohr magnetons follow the coordinates.
Atoms (fractional coordinates):
Ge1 0.0000 0.0000 0.7458  -0.03
Ge2 0.0000 0.0000 0.2542  -0.03
Gd1 0.5000 0.5000 0.0000  7.14
Ho1 0.5000 0.5000 0.5000  -0.06

Record 7
This record from Alexandria via LeMat-Bulk describes a relaxed structure of ZrCdP2. The functional is PBE.

Values from the calculation:
DOS(E_F)   0.97 states/eV/f.u.
Size of the total moment   0.0 μB per formula unit
E   -22.223 eV for the cell shown

Cell: 6.8202 6.8202 6.8202 Å, 32.53 32.53 32.53°
Atoms (fractional coordinates):
P1 0.9948 0.9948 0.9948
P2 0.5052 0.5052 0.5052
Cd1 0.7500 0.7500 0.7500
Zr1 0.2500 0.2500 0.2500

Record 8
This record from Alexandria via LeMat-Bulk describes a relaxed structure of MnTl2CrBi. The functional is PBE.

Values from the calculation:
DOS(E_F)   3.65 states/eV/f.u.
Size of the total moment   1.2 μB per formula unit
E   -21.605 eV for the cell shown

Cell: 6.0971 5.1091 6.0971 Å, 90.00 90.00 90.00°
Site moments in Bohr magnetons follow the coordinates.
Atoms (fractional coordinates):
Cr1 0.5000 0.5000 0.5000  4.29
Mn1 0.0000 0.5000 0.0000  -3.83
Bi1 0.0000 0.0000 0.0000  0.16
Tl1 0.5000 0.0000 0.0000  0.02
Tl2 0.0000 0.0000 0.5000  0.01